Record 1
VASP calculation (GGA-PBE) on an optimized crystal structure of MgH4Ir.

Geometry as CIF:
```
data_MgH4Ir
_space_group_name_H-M_alt 'A m a 2'
_space_group_IT_number 40
_cell_length_a 8.434
_cell_length_b 5.381
_cell_length_c 4.739
_cell_angle_alpha 90.00
_cell_angle_beta 90.00
_cell_angle_gamma 90.00
loop_
_space_group_symop_operation_xyz
'x,y,z'
'-x,-y,z'
'-x+1/2,y,z'
'x+1/2,-y,z'
'x,y+1/2,z+1/2'
'-x,-y+1/2,z+1/2'
'-x+1/2,y+1/2,z+1/2'
'x+1/2,-y+1/2,z+1/2'
loop_
_atom_site_label
_atom_site_type_symbol
_atom_site_fract_x
_atom_site_fract_y
_atom_site_fract_z
Mg1 Mg 0.000 0.000 0.000
H1 H 0.053 0.169 0.373
H2 H 0.250 0.425 0.633
H3 H 0.250 0.443 0.107
Ir1 Ir 0.250 0.196 0.356
```

=====

Record 2
VASP calculation (GGA-PBE) on an optimized crystal structure of Mg5H2Ir3.

Geometry as CIF:
```
data_Mg5H2Ir3
_space_group_name_H-M_alt 'P 1 m 1'
_space_group_IT_number 6
_cell_length_a 4.692
_cell_length_b 6.232
_cell_length_c 4.726
_cell_angle_alpha 90.00
_cell_angle_beta 97.25
_cell_angle_gamma 90.00
loop_
_space_group_symop_operation_xyz
'x,y,z'
'x,-y,z'
loop_
_atom_site_label
_atom_site_type_symbol
_atom_site_fract_x
_atom_site_fract_y
_atom_site_fract_z
Mg1 Mg 0.000 0.000 0.000
Mg2 Mg 0.031 0.268 0.533
Mg3 Mg 0.500 0.265 0.081
H1 H 0.269 0.500 0.302
H2 H 0.741 0.000 0.347
Ir1 Ir 0.511 0.000 0.593
Ir2 Ir 0.544 0.500 0.597
Ir3 Ir 0.984 0.500 0.025
```

=====

Record 3
VASP calculation (GGA-PBE) on an optimized crystal structure of MgH4Ir.

Geometry as CIF:
```
data_MgH4Ir
_space_group_name_H-M_alt 'P -1'
_space_group_IT_number 2
_cell_length_a 2.878
_cell_length_b 4.689
_cell_length_c 4.886
_cell_angle_alpha 116.39
_cell_angle_beta 106.61
_cell_angle_gamma 90.04
loop_
_space_group_symop_operation_xyz
'x,y,z'
'-x,-y,-z'
loop_
_atom_site_label
_atom_site_type_symbol
_atom_site_fract_x
_atom_site_fract_y
_atom_site_fract_z
Mg1 Mg 0.000 0.000 0.000
H1 H 0.120 0.515 0.248
H2 H 0.373 0.103 0.738
Ir1 Ir 0.500 0.500 0.000
```

=====

Record 4
VASP calculation (GGA-PBE) on an optimized crystal structure of Mg2H2Ir.

Geometry as CIF:
```
data_Mg2H2Ir
_space_group_name_H-M_alt 'C 1 m 1'
_space_group_IT_number 8
_cell_length_a 9.207
_cell_length_b 6.067
_cell_length_c 6.473
_cell_angle_alpha 90.00
_cell_angle_beta 134.58
_cell_angle_gamma 90.00
loop_
_space_group_symop_operation_xyz
'x,y,z'
'x,-y,z'
'x+1/2,y+1/2,z'
'x+1/2,-y+1/2,z'
loop_
_atom_site_label
_atom_site_type_symbol
_atom_site_fract_x
_atom_site_fract_y
_atom_site_fract_z
Mg1 Mg 0.000 0.240 0.000
Mg2 Mg 0.016 0.251 0.502
H1 H 0.256 0.000 0.741
H2 H 0.257 0.000 0.262
H3 H 0.259 0.500 0.277
H4 H 0.491 0.000 0.736
Ir1 Ir 0.247 0.500 0.003
Ir2 Ir 0.257 0.000 0.003
```

=====

How do the records compare in DFT total energy? In the order shown, they have -25.01; -44.14; -24.94; -20.48 eV per formula unit.
How do the records compare in energy above the most stable polymorph in this dataset? In the order shown, they have 16; 26; 29; 42 meV per atom.